No. 1
The following is a DFT calculation (meta-GGA SCAN) of a crystal of ScZnRu3 relaxed with PBEsol.

Values from the calculation:
ΔH_f (0 K)   1.00 eV per atom
Energy   -25.4511 eV per atom
Calculated volume   17.40 Å³ per atom

POSCAR file:
```
ScZnRu3
1.0
4.431 0.000 0.000
0.000 4.431 0.000
0.000 0.000 4.431
Sc Zn Ru
1 1 3
Direct
0.000 0.000 0.000 Sc
0.500 0.500 0.500 Zn
0.000 0.500 0.500 Ru
0.500 0.000 0.500 Ru
0.500 0.500 0.000 Ru
```


No. 2
The following is a DFT calculation (meta-GGA SCAN) of a crystal of LiSe2Cl relaxed with PBEsol.

Values from the calculation:
Energy   -13.4569 eV per atom
E above lowest polymorph   0 meV/atom
Calculated volume   23.81 Å³ per atom

POSCAR file:
```
LiSe2Cl
1.0
-1.749 1.765 7.714
1.749 -1.765 7.714
1.749 1.765 -7.714
Li Se Cl
1 2 1
Direct
0.000 0.000 0.000 Li
0.225 0.725 0.500 Se
0.775 0.275 0.500 Se
0.500 0.500 0.000 Cl
```


The highest energy belongs to which entry? LiSe2Cl